1.
Below is a geometry-optimized Fe2RuPb structure, with properties calculated at the PBEsol level.

- SG = P4/mmm (123)
- ΔE_f (meV per atom) = 532

Structure (CIF):
```
data_Fe2RuPb
_chemical_formula_sum 'Fe2 Ru1 Pb1'
_space_group_name_H-M_alt 'P 1'
_space_group_IT_number 1
_cell_length_a 3.281
_cell_length_b 3.281
_cell_length_c 5.704
_cell_angle_alpha 90.00
_cell_angle_beta 90.00
_cell_angle_gamma 90.00
loop_
_space_group_symop_operation_xyz
'x,y,z'
loop_
_atom_site_label
_atom_site_type_symbol
_atom_site_fract_x
_atom_site_fract_y
_atom_site_fract_z
_atom_site_occupancy
Fe1 Fe 0.000 0.000 0.300 1
Fe2 Fe 0.000 0.000 0.700 1
Ru1 Ru 0.500 0.500 0.500 1
Pb1 Pb 0.500 0.500 0.000 1
```

***

2.
Below is a geometry-optimized KIr3Os structure, with properties calculated at the PBEsol level.

- energy relative to the lowest polymorph listed for this composition (eV/atom) = 2.155
- SG = Pm-3m (221)
- ΔE_f (meV per atom) = 3747

Structure (CIF):
```
data_KIr3Os
_chemical_formula_sum 'K1 Ir3 Os1'
_space_group_name_H-M_alt 'P 1'
_space_group_IT_number 1
_cell_length_a 4.465
_cell_length_b 4.465
_cell_length_c 4.465
_cell_angle_alpha 90.00
_cell_angle_beta 90.00
_cell_angle_gamma 90.00
loop_
_space_group_symop_operation_xyz
'x,y,z'
loop_
_atom_site_label
_atom_site_type_symbol
_atom_site_fract_x
_atom_site_fract_y
_atom_site_fract_z
_atom_site_occupancy
Ir1 Ir 0.000 0.500 0.000 1
Os1 Os 0.500 0.500 0.500 1
Ir2 Ir 0.500 0.000 0.000 1
K1 K 0.000 0.000 0.000 1
Ir3 Ir 0.000 0.000 0.500 1
```

***

3.
Below is a geometry-optimized LiMnF3 structure, with properties calculated at the PBEsol level.

- energy relative to the lowest polymorph listed for this composition (eV/atom) = 0.012
- SG = P2_13 (198)
- uncorrected formation energy (meV/atom) = -2507

Structure (CIF):
```
data_LiMnF3
_chemical_formula_sum 'Li4 Mn4 F12'
_space_group_name_H-M_alt 'P 1'
_space_group_IT_number 1
_cell_length_a 6.086
_cell_length_b 6.086
_cell_length_c 6.086
_cell_angle_alpha 90.00
_cell_angle_beta 90.00
_cell_angle_gamma 90.00
loop_
_space_group_symop_operation_xyz
'x,y,z'
loop_
_atom_site_label
_atom_site_type_symbol
_atom_site_fract_x
_atom_site_fract_y
_atom_site_fract_z
_atom_site_occupancy
Mn1 Mn 0.337 0.337 0.337 1
F1 F 0.492 0.768 0.871 1
F2 F 0.992 0.732 0.129 1
F3 F 0.732 0.129 0.992 1
F4 F 0.768 0.871 0.492 1
Li1 Li 0.122 0.878 0.378 1
F5 F 0.508 0.268 0.629 1
Li2 Li 0.622 0.622 0.622 1
Li3 Li 0.878 0.378 0.122 1
Li4 Li 0.378 0.122 0.878 1
Mn2 Mn 0.163 0.663 0.837 1
F6 F 0.232 0.371 0.008 1
F7 F 0.129 0.992 0.732 1
F8 F 0.268 0.629 0.508 1
F9 F 0.871 0.492 0.768 1
Mn3 Mn 0.837 0.163 0.663 1
F10 F 0.629 0.508 0.268 1
F11 F 0.008 0.232 0.371 1
Mn4 Mn 0.663 0.837 0.163 1
F12 F 0.371 0.008 0.232 1
```

***

4.
Below is a geometry-optimized TiInGe3 structure, with properties calculated at the PBEsol level.

- SG = Pm-3m (221)
- ΔE_f (meV per atom) = 201

Structure (CIF):
```
data_TiInGe3
_chemical_formula_sum 'Ti1 In1 Ge3'
_space_group_name_H-M_alt 'P 1'
_space_group_IT_number 1
_cell_length_a 4.888
_cell_length_b 4.888
_cell_length_c 4.888
_cell_angle_alpha 90.00
_cell_angle_beta 90.00
_cell_angle_gamma 90.00
loop_
_space_group_symop_operation_xyz
'x,y,z'
loop_
_atom_site_label
_atom_site_type_symbol
_atom_site_fract_x
_atom_site_fract_y
_atom_site_fract_z
_atom_site_occupancy
Ge1 Ge 0.000 0.000 0.500 1
Ge2 Ge 0.500 0.000 0.000 1
Ti1 Ti 0.000 0.000 0.000 1
In1 In 0.500 0.500 0.500 1
Ge3 Ge 0.000 0.500 0.000 1
```

***

5.
Below is a geometry-optimized CoSnP2O8 structure, with properties calculated at the PBEsol level.

- SG = P2_1/m (11)
- uncorrected formation energy (meV/atom) = -1779

Structure (CIF):
```
data_CoSnP2O8
_chemical_formula_sum 'Co2 Sn2 P4 O16'
_space_group_name_H-M_alt 'P 1'
_space_group_IT_number 1
_cell_length_a 4.892
_cell_length_b 5.869
_cell_length_c 9.875
_cell_angle_alpha 90.00
_cell_angle_beta 90.87
_cell_angle_gamma 90.00
loop_
_space_group_symop_operation_xyz
'x,y,z'
loop_
_atom_site_label
_atom_site_type_symbol
_atom_site_fract_x
_atom_site_fract_y
_atom_site_fract_z
_atom_site_occupancy
O1 O 0.740 0.043 0.162 1
O2 O 0.260 0.957 0.838 1
O3 O 0.230 0.954 0.337 1
O4 O 0.230 0.546 0.337 1
O5 O 0.311 0.250 0.617 1
P1 P 0.618 0.250 0.588 1
Sn1 Sn 0.057 0.250 0.775 1
O6 O 0.770 0.454 0.663 1
P2 P 0.382 0.750 0.412 1
O7 O 0.185 0.750 0.060 1
O8 O 0.661 0.250 0.437 1
O9 O 0.815 0.250 0.940 1
Co1 Co 0.565 0.750 0.726 1
O10 O 0.770 0.046 0.663 1
O11 O 0.339 0.750 0.563 1
P3 P 0.111 0.750 0.908 1
O12 O 0.689 0.750 0.383 1
P4 P 0.889 0.250 0.092 1
O13 O 0.195 0.250 0.115 1
Co2 Co 0.435 0.250 0.274 1
O14 O 0.260 0.543 0.838 1
O15 O 0.805 0.750 0.885 1
O16 O 0.740 0.457 0.162 1
Sn2 Sn 0.943 0.750 0.225 1
```

***

6.
Below is a geometry-optimized Na2GeH2 structure, with properties calculated at the PBEsol level.

- SG = P4/mbm (127)

Structure (CIF):
```
data_Na2GeH2
_chemical_formula_sum 'Na4 Ge2 H4'
_space_group_name_H-M_alt 'P 1'
_space_group_IT_number 1
_cell_length_a 2.713
_cell_length_b 7.360
_cell_length_c 7.360
_cell_angle_alpha 90.00
_cell_angle_beta 90.00
_cell_angle_gamma 90.00
loop_
_space_group_symop_operation_xyz
'x,y,z'
loop_
_atom_site_label
_atom_site_type_symbol
_atom_site_fract_x
_atom_site_fract_y
_atom_site_fract_z
_atom_site_occupancy
H1 H 0.500 0.356 0.144 1
Ge1 Ge 0.000 0.500 0.500 1
Ge2 Ge 0.000 0.000 0.000 1
Na1 Na 0.000 0.861 0.639 1
Na2 Na 0.000 0.361 0.861 1
H2 H 0.500 0.856 0.356 1
H3 H 0.500 0.644 0.856 1
H4 H 0.500 0.144 0.644 1
Na3 Na 0.000 0.139 0.361 1
Na4 Na 0.000 0.639 0.139 1
```

***

7.
Below is a geometry-optimized SrScAl4 structure, with properties calculated at the PBEsol level.

- SG = F-43m (216)
- ΔE_f (meV per atom) = -300

Structure (CIF):
```
data_SrScAl4
_chemical_formula_sum 'Sr1 Sc1 Al4'
_space_group_name_H-M_alt 'P 1'
_space_group_IT_number 1
_cell_length_a 5.559
_cell_length_b 5.559
_cell_length_c 5.559
_cell_angle_alpha 60.00
_cell_angle_beta 60.00
_cell_angle_gamma 60.00
loop_
_space_group_symop_operation_xyz
'x,y,z'
loop_
_atom_site_label
_atom_site_type_symbol
_atom_site_fract_x
_atom_site_fract_y
_atom_site_fract_z
_atom_site_occupancy
Sr1 Sr 0.000 0.000 0.000 1
Al1 Al 0.376 0.873 0.376 1
Sc1 Sc 0.750 0.750 0.750 1
Al2 Al 0.376 0.376 0.873 1
Al3 Al 0.873 0.376 0.376 1
Al4 Al 0.376 0.376 0.376 1
```

***

8.
Below is a geometry-optimized YReP2Cl structure, with properties calculated at the PBEsol level.

- energy relative to the lowest polymorph listed for this composition (eV/atom) = 0.000
- SG = P4/mmm (123)
- uncorrected formation energy (meV/atom) = -106

Structure (CIF):
```
data_YReP2Cl
_chemical_formula_sum 'Y1 Re1 P2 Cl1'
_space_group_name_H-M_alt 'P 1'
_space_group_IT_number 1
_cell_length_a 4.558
_cell_length_b 4.558
_cell_length_c 4.877
_cell_angle_alpha 90.00
_cell_angle_beta 90.00
_cell_angle_gamma 90.00
loop_
_space_group_symop_operation_xyz
'x,y,z'
loop_
_atom_site_label
_atom_site_type_symbol
_atom_site_fract_x
_atom_site_fract_y
_atom_site_fract_z
_atom_site_occupancy
Re1 Re 0.000 0.000 0.000 1
P1 P 0.500 0.000 0.000 1
P2 P 0.000 0.500 0.000 1
Y1 Y 0.500 0.500 0.500 1
Cl1 Cl 0.000 0.000 0.500 1
```

***

E, respectively: -7.49 -4.82 -6.01 -5.02 -7.24 -2.47 -4.44 -6.86 eV/atom.